[1]
{"formula": "Os2PbW", "functional": "SCAN", "state": "PBEsol geometry", "crystal_system": "orthorhombic", "total_energy_ev_per_cell": -285.68, "delta_e_f_mev_per_atom": 887, "magmom_total_mub_per_cell": 0.000, "lattice_angstrom": [[-2.052, 0.267, -2.007], [1.143, -3.525, -1.637], [-3.673, -2.764, 3.387]], "species": ["Os", "Os", "Pb", "W"], "fractional_positions": [[0.000, 0.000, 0.983], [0.500, 0.500, 0.233], [0.000, 0.000, 0.486], [0.500, 0.500, 0.798]]}

=====

[2]
{"formula": "OsPbW2", "functional": "SCAN", "state": "PBEsol geometry", "crystal_system": "trigonal", "total_energy_ev_per_cell": -283.91, "delta_e_f_mev_per_atom": 783, "magmom_total_mub_per_cell": 0.000, "lattice_angstrom": [[2.909, 0.000, 0.000], [1.454, 2.519, 0.000], [1.454, 0.840, 9.495]], "species": ["Os", "Pb", "W", "W"], "fractional_positions": [[0.491, 0.491, 0.526], [0.249, 0.249, 0.254], [0.006, 0.006, 0.981], [0.754, 0.754, 0.739]]}

=====

[3]
{"formula": "Os3PbW", "functional": "SCAN", "state": "PBEsol geometry", "crystal_system": "cubic", "total_energy_ev_per_cell": -350.59, "delta_e_f_mev_per_atom": 2103, "magmom_total_mub_per_cell": 0.000, "lattice_angstrom": [[-0.887, 1.225, -4.482], [-3.761, -2.869, -0.040], [-2.728, 3.556, 1.512]], "species": ["Pb", "Os", "Os", "Os", "W"], "fractional_positions": [[0.500, 0.500, 0.500], [0.000, 0.500, 0.000], [0.000, 0.000, 0.500], [0.500, 0.000, 0.000], [0.000, 0.000, 0.000]]}

=====

[4]
{"formula": "Os2PbW", "functional": "SCAN", "state": "PBEsol geometry", "crystal_system": "cubic", "total_energy_ev_per_cell": -285.01, "delta_e_f_mev_per_atom": 1056, "magmom_total_mub_per_cell": 0.001, "lattice_angstrom": [[-0.717, 4.255, -1.374], [-2.673, 0.807, -3.565], [-4.057, 1.920, 0.601]], "species": ["Os", "Os", "Pb", "W"], "fractional_positions": [[0.750, 0.750, 0.750], [0.250, 0.250, 0.250], [0.000, 0.000, 0.000], [0.500, 0.500, 0.500]]}

=====

[5]
{"formula": "ZnOs2Pb", "functional": "SCAN", "state": "PBEsol geometry", "crystal_system": "tetragonal", "total_energy_ev_per_cell": -231.46, "delta_e_f_mev_per_atom": 399, "magmom_total_mub_per_cell": 0.000, "lattice_angstrom": [[-0.031, 1.846, -2.231], [-2.831, -0.486, -0.363], [-1.776, 6.380, 5.304]], "species": ["Os", "Os", "Pb", "Zn"], "fractional_positions": [[0.000, 0.000, 0.014], [0.500, 0.500, 0.203], [0.000, 0.000, 0.467], [0.500, 0.500, 0.816]]}

=====

[6]
{"formula": "ZnOsPb3", "functional": "SCAN", "state": "PBEsol geometry", "crystal_system": "cubic", "total_energy_ev_per_cell": -309.85, "delta_e_f_mev_per_atom": 577, "magmom_total_mub_per_cell": 0.000, "lattice_angstrom": [[-2.920, -0.603, -4.290], [3.535, -3.321, -1.939], [-2.503, -3.987, 2.264]], "species": ["Pb", "Pb", "Pb", "Zn", "Os"], "fractional_positions": [[0.000, 0.500, 0.000], [0.000, 0.000, 0.500], [0.500, 0.000, 0.000], [0.500, 0.500, 0.500], [0.000, 0.000, 0.000]]}

=====

[7]
{"formula": "ZnOsPb", "functional": "SCAN", "state": "PBEsol geometry", "crystal_system": "trigonal", "total_energy_ev_per_cell": -158.95, "delta_e_f_mev_per_atom": 742, "magmom_total_mub_per_cell": 0.002, "lattice_angstrom": [[3.048, 0.000, 0.000], [-1.524, 2.640, 0.000], [0.000, 0.000, 6.785]], "species": ["Os", "Pb", "Zn"], "fractional_positions": [[0.000, 0.000, 0.019], [0.333, 0.667, 0.685], [0.667, 0.333, 0.296]]}

=====

[8]
{"formula": "ZrOsPb2", "functional": "SCAN", "state": "PBEsol geometry", "crystal_system": "orthorhombic", "total_energy_ev_per_cell": -251.75, "polymorph_energy_mev_per_atom": 250, "delta_e_f_mev_per_atom": 598, "magmom_total_mub_per_cell": 0.000, "lattice_angstrom": [[3.214, 0.015, 0.000], [-1.543, 2.819, 0.000], [0.000, 0.000, 9.367]], "species": ["Os", "Pb", "Pb", "Zr"], "fractional_positions": [[0.500, 0.500, 0.000], [0.000, 0.000, 0.232], [0.000, 0.000, 0.768], [0.500, 0.500, 0.500]]}

=====

[9]
{"formula": "ZrOsPb2", "functional": "SCAN", "state": "PBEsol geometry", "crystal_system": "cubic", "total_energy_ev_per_cell": -252.73, "polymorph_energy_mev_per_atom": 4, "delta_e_f_mev_per_atom": 352, "magmom_total_mub_per_cell": 0.000, "lattice_angstrom": [[4.909, 0.000, 0.000], [2.455, 4.252, 0.000], [2.455, 1.417, 4.009]], "species": ["Os", "Pb", "Pb", "Zr"], "fractional_positions": [[0.500, 0.500, 0.500], [0.000, 0.000, 0.000], [0.750, 0.750, 0.750], [0.250, 0.250, 0.250]]}

=====

[10]
{"formula": "ZrOsPb2", "functional": "SCAN", "state": "PBEsol geometry", "crystal_system": "orthorhombic", "total_energy_ev_per_cell": -252.75, "polymorph_energy_mev_per_atom": 0, "delta_e_f_mev_per_atom": 348, "magmom_total_mub_per_cell": 0.000, "lattice_angstrom": [[-2.453, -1.684, -1.411], [3.410, -2.494, -2.952], [-0.051, -1.455, 5.668]], "species": ["Os", "Pb", "Pb", "Zr"], "fractional_positions": [[0.000, 0.500, 0.000], [0.724, 0.724, 0.448], [0.276, 0.276, 0.552], [0.500, 0.000, 0.000]]}

=====

[11]
{"formula": "Sc2OsPdRh", "functional": "SCAN", "state": "PBEsol geometry", "crystal_system": "tetragonal", "total_energy_ev_per_cell": -162.54, "delta_e_f_mev_per_atom": 872, "magmom_total_mub_per_cell": 1.613, "lattice_angstrom": [[-2.899, 0.901, -3.499], [1.130, -4.108, -1.994], [-3.491, -2.102, 2.352]], "species": ["Sc", "Sc", "Rh", "Os", "Pd"], "fractional_positions": [[0.000, 0.000, 0.500], [0.000, 0.500, 0.000], [0.500, 0.000, 0.000], [0.500, 0.500, 0.500], [0.000, 0.000, 0.000]]}

=====

[12]
{"formula": "SiTe2OsPd", "functional": "SCAN", "state": "PBEsol geometry", "crystal_system": "tetragonal", "total_energy_ev_per_cell": -182.44, "formation_energy_uncorrected_mev_per_atom": 1347.1, "magmom_total_mub_per_cell": 1.508, "lattice_angstrom": [[-0.774, 3.893, -1.771], [1.995, -1.626, -4.446], [-4.645, -1.605, -1.497]], "species": ["Si", "Te", "Te", "Os", "Pd"], "fractional_positions": [[0.500, 0.000, 0.000], [0.000, 0.000, 0.500], [0.000, 0.500, 0.000], [0.500, 0.500, 0.500], [0.000, 0.000, 0.000]]}